1.
! Ba4CdIr | Alexandria | PBE | optimized geometry; values from VASP
! Energy relative to the lowest polymorph listed for this composition: 969 meV/atom
! Space group: F-43m (216)
! Formation energy: 816 meV/atom
! N(E_F): 5.631 states/eV per cell
! Energy: -12.57 eV/cell
&SYSTEM
  ibrav = 0, nat = 6, ntyp = 3
/
ATOMIC_SPECIES
Ba 137.33 Ba.upf
Cd 112.41 Cd.upf
Ir 192.22 Ir.upf
ATOMIC_POSITIONS angstrom
Ba 3.6354 6.0903 6.0903
Ba 6.0903 6.0903 3.6354
Ba 6.0903 3.6354 6.0903
Ba 3.6354 3.6354 3.6354
Cd 7.2942 7.2942 7.2942
Ir 0.0000 0.0000 0.0000
CELL_PARAMETERS angstrom
0.0000 4.8628 4.8628
4.8628 0.0000 4.8628
4.8628 4.8628 0.0000

***

2.
! BaCd2Ir | Alexandria | PBE | optimized geometry; values from VASP
! Space group: Pm (6)
! Formation energy: 53 meV/atom
! N(E_F): 2.508 states/eV per cell
! Energy: -12.40 eV/cell
&SYSTEM
  ibrav = 0, nat = 4, ntyp = 3
/
ATOMIC_SPECIES
Ir 192.22 Ir.upf
Ba 137.33 Ba.upf
Cd 112.41 Cd.upf
ATOMIC_POSITIONS angstrom
Ir 0.0000 2.2756 2.9644
Ba 2.1831 4.3778 4.3011
Cd 0.0000 4.3818 1.1159
Cd 2.1831 2.2721 1.3365
CELL_PARAMETERS angstrom
4.3661 0.0000 0.0000
0.0000 4.2040 0.0028
0.0000 1.8649 6.4739

***

3.
! BaCdIr3 | Alexandria | PBE | optimized geometry; values from VASP
! Energy relative to the lowest polymorph listed for this composition: 1174 meV/atom
! Space group: Pm-3m (221)
! Formation energy: 2547 meV/atom
! N(E_F): 4.491 states/eV per cell
! Energy: -16.69 eV/cell
&SYSTEM
  ibrav = 0, nat = 5, ntyp = 3
/
ATOMIC_SPECIES
Ir 192.22 Ir.upf
Ba 137.33 Ba.upf
Cd 112.41 Cd.upf
ATOMIC_POSITIONS angstrom
Ir 0.0000 2.5653 0.0000
Ir 0.0000 0.0000 2.5653
Ir 2.5653 0.0000 0.0000
Ba 0.0000 0.0000 0.0000
Cd 2.5653 2.5653 2.5653
CELL_PARAMETERS angstrom
5.1305 0.0000 0.0000
0.0000 5.1305 0.0000
0.0000 0.0000 5.1305

***

4.
! BaCdIr2 | Alexandria | PBE | optimized geometry; values from VASP
! Space group: Cm (8)
! Formation energy: 300 meV/atom
! N(E_F): 1.634 states/eV per cell
! Energy: -19.36 eV/cell
&SYSTEM
  ibrav = 0, nat = 4, ntyp = 3
/
ATOMIC_SPECIES
Ir 192.22 Ir.upf
Ba 137.33 Ba.upf
Cd 112.41 Cd.upf
ATOMIC_POSITIONS angstrom
Ir 2.6750 0.6963 4.8318
Ir 10.4018 2.7078 4.8141
Ba 6.7557 1.7586 2.6447
Cd 3.8570 1.0040 0.9679
CELL_PARAMETERS angstrom
6.1244 0.0007 0.1082
5.3474 2.9856 0.1082
2.5927 0.6749 5.1736

***

What did the third record say?
! BaCdIr3 | Alexandria | PBE | optimized geometry; values from VASP
! Energy relative to the lowest polymorph listed for this composition: 1174 meV/atom
! Space group: Pm-3m (221)
! Formation energy: 2547 meV/atom
! N(E_F): 4.491 states/eV per cell
! Energy: -16.69 eV/cell
&SYSTEM
  ibrav = 0, nat = 5, ntyp = 3
/
ATOMIC_SPECIES
Ir 192.22 Ir.upf
Ba 137.33 Ba.upf
Cd 112.41 Cd.upf
ATOMIC_POSITIONS angstrom
Ir 0.0000 2.5653 0.0000
Ir 0.0000 0.0000 2.5653
Ir 2.5653 0.0000 0.0000
Ba 0.0000 0.0000 0.0000
Cd 2.5653 2.5653 2.5653
CELL_PARAMETERS angstrom
5.1305 0.0000 0.0000
0.0000 5.1305 0.0000
0.0000 0.0000 5.1305

***

> Which formula does entry 4 have?

BaCdIr2